i | {
  "formula": "Be2RhW",
  "functional": "PBE",
  "state": "optimized geometry",
  "dos_ef_per_ev_cell": 4.82,
  "magnetic_moment_mub_per_fu": 0.0,
  "cell": [[-3.307, 0.345, 5.208], [-0.091, -6.168, 0.351], [0.481, -2.865, 4.160]],
  "species": ["Rh", "W", "W", "Rh", "Be", "Be", "Be", "Be"],
  "frac_coords": [[0.500, 0.500, 0.000], [0.000, 0.000, 0.000], [0.750, 0.250, 0.500], [0.250, 0.750, 0.500], [0.606, 0.125, 0.250], [0.875, 0.856, 0.750], [0.144, 0.625, 0.250], [0.375, 0.394, 0.750]]
}

ii | {
  "formula": "Be2RhW",
  "functional": "PBE",
  "state": "optimized geometry",
  "dos_ef_per_ev_cell": 3.71,
  "magnetic_moment_mub_per_fu": 0.0,
  "cell": [[-1.682, -2.786, -2.526], [1.928, -1.048, -3.487], [1.700, -3.735, -0.372]],
  "species": ["Be", "Be", "Rh", "W"],
  "frac_coords": [[0.250, 0.250, 0.250], [0.000, 0.000, 0.000], [0.500, 0.500, 0.500], [0.750, 0.750, 0.750]]
}

What should be chosen as the least stable of them? Choose i.

i | {
  "formula": "Be2RhW",
  "functional": "PBE",
  "state": "optimized geometry",
  "dos_ef_per_ev_cell": 2.21,
  "magnetic_moment_mub_per_fu": 0.0,
  "cell": [[-2.051, -1.735, -0.786], [2.716, -1.799, -3.115], [1.248, -2.667, 2.629]],
  "species": ["Be", "Be", "W", "Rh"],
  "frac_coords": [[0.500, 0.500, 0.000], [0.000, 0.000, 0.000], [0.000, 0.500, 0.500], [0.500, 0.000, 0.500]]
}

ii | {
  "formula": "Be2RhW",
  "functional": "PBE",
  "state": "optimized geometry",
  "dos_ef_per_ev_cell": 2.04,
  "magnetic_moment_mub_per_fu": 0.0,
  "cell": [[-2.024, 1.898, 0.140], [-0.867, -1.101, 2.393], [2.773, 2.561, 5.381]],
  "species": ["Rh", "Be", "Be", "W"],
  "frac_coords": [[0.500, 0.250, 0.250], [0.000, 0.537, 0.464], [0.000, 0.963, 0.036], [0.500, 0.750, 0.750]]
}

What should be chosen as the least stable of them? Choose i.